Run 1
Here is a relaxed structure of KP2Ir from Alexandria. Energies are from GGA-PBE.

- Total moment: 0.0 μB/f.u.

abc: 6.5346 6.5346 6.5346
angles: 90.00 90.00 90.00
With the nearest neighbours (Å) after each atom.
Space group F-43m (No. 216)
Unique sites:
K  0.0000  0.0000  0.0000 x4  4 Ir 2.83, 4 P 2.83
P  0.0000  0.0000  0.5000 x4  4 Ir 2.83, 4 P 2.83
P  0.2500  0.2500  0.2500 x4  4 K 2.83, 4 P 2.83
Ir  0.2500  0.2500  0.7500 x4  4 K 2.83, 4 P 2.83

=====

Run 2
Here is a relaxed structure of KP2Ir from Alexandria. Energies are from GGA-PBE.

- Total moment: 0.0 μB/f.u.

abc: 5.6781 8.2579 2.9181
angles: 90.00 90.00 90.00
With the nearest neighbours (Å) after each atom.
Space group Cmmm (No. 65)
Unique sites:
K  0.0000  0.0000  0.0000 x2  2 Ir 2.84, 8 P 2.90, 2 K 2.92
P  0.2500  0.2500  0.5000 x4  4 P 2.84-2.92, 4 K 2.90, 4 Ir 2.90
Ir  0.0000  0.5000  0.0000 x2  2 K 2.84, 8 P 2.90, 2 Ir 2.92

=====

Run 3
Here is a relaxed structure of KP2Ir from Alexandria. Energies are from GGA-PBE.

- Total moment: 0.0 μB/f.u.

abc: 6.9781 6.9781 8.7159
angles: 90.00 90.00 90.00
With the nearest neighbours (Å) after each atom.
Space group I-42d (No. 122)
Unique sites:
K  0.0000  0.0000  0.0000 x4  4 P 3.30
P  0.1296  0.2500  0.6250 x8  2 Ir 2.25
Ir  0.0000  0.0000  0.5000 x4  4 P 2.25

=====

Run 4
Here is a relaxed structure of KP2Ir from Alexandria. Energies are from GGA-PBE.

- Total moment: 0.0 μB/f.u.

abc: 4.5539 3.5357 6.0754
angles: 90.00 101.79 90.00
With the nearest neighbours (Å) after each atom.
Space group Pm (No. 6)
Unique sites:
K  0.0000  0.0000  0.0000 x1  4 P 3.22-3.61, 2 Ir 3.44, 2 K 3.54
P  0.4229  0.5000  0.6137 x1  2 Ir 2.27-2.46, 2 P 2.50
P  0.6062  0.0000  0.3848 x1  2 Ir 2.29, 2 P 2.50
Ir  0.9157  0.5000  0.5055 x1  4 P 2.27-2.46

=====

Name the least stable of them. run 1.